No. 1
# Ti8GaTe2 (PBE, optimized geometry)
# - ρ: 5.80 Mg/m³
# - Raw formation energy: -0.1791 eV per atom
data_Ti8GaTe2
_cell_length_a 6.989
_cell_length_b 12.481
_cell_length_c 5.039
_cell_angle_alpha 90.00
_cell_angle_beta 112.82
_cell_angle_gamma 90.00
_symmetry_space_group_name_H-M 'C 1 2/m 1'
_symmetry_Int_Tables_number 12
loop_
_symmetry_equiv_pos_as_xyz
'x,y,z'
'-x,-y,-z'
'-x,y,-z'
'x,-y,z'
'x+1/2,y+1/2,z'
'-x+1/2,-y+1/2,-z'
'-x+1/2,y+1/2,-z'
'x+1/2,-y+1/2,z'
loop_
_atom_site_label
_atom_site_type_symbol
_atom_site_fract_x
_atom_site_fract_y
_atom_site_fract_z
Ti1 Ti 0.000 0.219 0.000
Ti2 Ti 0.093 0.500 0.804
Ti3 Ti 0.201 0.104 0.660
Ga1 Ga 0.000 0.000 0.000
Te1 Te 0.000 0.302 0.500

No. 2
# Ti2Ga2Te7 (PBE, optimized geometry)
# - ρ: 5.41 Mg/m³
# - Raw formation energy: -0.3284 eV per atom
data_Ti2Ga2Te7
_cell_length_a 7.195
_cell_length_b 12.295
_cell_length_c 8.220
_cell_angle_alpha 90.00
_cell_angle_beta 107.74
_cell_angle_gamma 90.00
_symmetry_space_group_name_H-M 'C 1 2/m 1'
_symmetry_Int_Tables_number 12
loop_
_symmetry_equiv_pos_as_xyz
'x,y,z'
'-x,-y,-z'
'-x,y,-z'
'x,-y,z'
'x+1/2,y+1/2,z'
'-x+1/2,-y+1/2,-z'
'-x+1/2,y+1/2,-z'
'x+1/2,-y+1/2,z'
loop_
_atom_site_label
_atom_site_type_symbol
_atom_site_fract_x
_atom_site_fract_y
_atom_site_fract_z
Ti1 Ti 0.000 0.193 0.000
Ga1 Ga 0.169 0.000 0.620
Te1 Te 0.000 0.500 0.500
Te2 Te 0.171 0.000 0.167
Te3 Te 0.205 0.204 0.762

No. 3
# TiGaTe (PBE, optimized geometry)
# - ρ: 6.26 Mg/m³
# - Raw formation energy: -0.3010 eV per atom
data_TiGaTe
_cell_length_a 5.179
_cell_length_b 3.760
_cell_length_c 6.838
_cell_angle_alpha 90.00
_cell_angle_beta 102.23
_cell_angle_gamma 90.00
_symmetry_space_group_name_H-M 'P 1 21/m 1'
_symmetry_Int_Tables_number 11
loop_
_symmetry_equiv_pos_as_xyz
'x,y,z'
'-x,-y,-z'
'-x,y+1/2,-z'
'x,-y+1/2,z'
loop_
_atom_site_label
_atom_site_type_symbol
_atom_site_fract_x
_atom_site_fract_y
_atom_site_fract_z
Ti1 Ti 0.227 0.250 0.031
Ga1 Ga 0.275 0.750 0.751
Te1 Te 0.193 0.750 0.318

No. 4
# TiGaTe3 (PBE, optimized geometry)
# - Energy above the most stable polymorph in this dataset: 1.059 eV/atom
# - ρ: 5.61 Mg/m³
# - Raw formation energy: 0.5965 eV per atom
data_TiGaTe3
_cell_length_a 5.290
_cell_length_b 5.290
_cell_length_c 5.290
_cell_angle_alpha 90.00
_cell_angle_beta 90.00
_cell_angle_gamma 90.00
_symmetry_space_group_name_H-M 'P m -3 m'
_symmetry_Int_Tables_number 221
_symmetry_space_group_name_Hall '-P 4 2 3'
loop_
_atom_site_label
_atom_site_type_symbol
_atom_site_fract_x
_atom_site_fract_y
_atom_site_fract_z
Ti1 Ti 0.000 0.000 0.000
Ga1 Ga 0.500 0.500 0.500
Te1 Te 0.000 0.500 0.500

No. 5
# TiGa2Te4 (PBE, optimized geometry)
# - Energy above the most stable polymorph in this dataset: 0.000 eV/atom
# - ρ: 5.08 Mg/m³
# - Raw formation energy: -0.2216 eV per atom
data_TiGa2Te4
_cell_length_a 8.081
_cell_length_b 8.081
_cell_length_c 6.983
_cell_angle_alpha 90.00
_cell_angle_beta 90.00
_cell_angle_gamma 90.00
_symmetry_space_group_name_H-M 'I 4/m'
_symmetry_Int_Tables_number 87
_symmetry_space_group_name_Hall '-I 4'
loop_
_atom_site_label
_atom_site_type_symbol
_atom_site_fract_x
_atom_site_fract_y
_atom_site_fract_z
Ti1 Ti 0.000 0.000 0.000
Ga1 Ga 0.000 0.500 0.250
Te1 Te 0.169 0.309 0.000

No. 6
# TiGaTe3 (PBE, optimized geometry)
# - Energy above the most stable polymorph in this dataset: 0.000 eV/atom
# - ρ: 5.32 Mg/m³
# - Raw formation energy: -0.4621 eV per atom
data_TiGaTe3
_cell_length_a 7.023
_cell_length_b 4.009
_cell_length_c 11.158
_cell_angle_alpha 90.00
_cell_angle_beta 96.54
_cell_angle_gamma 90.00
_symmetry_space_group_name_H-M 'P 1 21/m 1'
_symmetry_Int_Tables_number 11
loop_
_symmetry_equiv_pos_as_xyz
'x,y,z'
'-x,-y,-z'
'-x,y+1/2,-z'
'x,-y+1/2,z'
loop_
_atom_site_label
_atom_site_type_symbol
_atom_site_fract_x
_atom_site_fract_y
_atom_site_fract_z
Ti1 Ti 0.040 0.250 0.134
Ga1 Ga 0.487 0.250 0.740
Te1 Te 0.111 0.250 0.723
Te2 Te 0.268 0.750 0.039
Te3 Te 0.326 0.250 0.347

No. 7
# Ti2GaTe (PBE, optimized geometry)
# - Energy above the most stable polymorph in this dataset: 0.497 eV/atom
# - ρ: 4.49 Mg/m³
# - Raw formation energy: 0.3357 eV per atom
data_Ti2GaTe
_cell_length_a 5.802
_cell_length_b 5.802
_cell_length_c 12.875
_cell_angle_alpha 90.00
_cell_angle_beta 90.00
_cell_angle_gamma 90.00
_symmetry_space_group_name_H-M 'I -4 2 d'
_symmetry_Int_Tables_number 122
_symmetry_space_group_name_Hall 'I -4 2bw'
loop_
_atom_site_label
_atom_site_type_symbol
_atom_site_fract_x
_atom_site_fract_y
_atom_site_fract_z
Ti1 Ti 0.209 0.250 0.125
Ga1 Ga 0.000 0.000 0.000
Te1 Te 0.000 0.000 0.500

No. 8
# YTiGa2Te (PBE, optimized geometry)
# - ρ: 5.33 Mg/m³
# - Raw formation energy: -0.1322 eV per atom
data_YTiGa2Te
_cell_length_a 4.917
_cell_length_b 4.917
_cell_length_c 5.205
_cell_angle_alpha 90.00
_cell_angle_beta 90.00
_cell_angle_gamma 90.00
_symmetry_space_group_name_H-M 'P 4/m m m'
_symmetry_Int_Tables_number 123
_symmetry_space_group_name_Hall '-P 4 2'
loop_
_atom_site_label
_atom_site_type_symbol
_atom_site_fract_x
_atom_site_fract_y
_atom_site_fract_z
Y1 Y 0.000 0.000 0.000
Ti1 Ti 0.500 0.500 0.500
Ga1 Ga 0.000 0.500 0.500
Te1 Te 0.500 0.500 0.000